(1)
This record from Alexandria via LeMat-Bulk describes a geometry-optimized Nd2Al4Zn3Hg structure. The functional is PBE.

POSCAR file:
```
Nd2Al4Zn3Hg
1.0
-2.718 2.978 1.502
0.645 -1.432 4.006
8.279 6.972 1.159
Nd Al Zn Hg
2 4 3 1
Cartesian
0.662 3.191 1.034 Nd
6.581 4.554 2.879 Nd
-1.037 0.773 2.754 Al
0.000 0.000 0.000 Al
3.953 5.962 1.495 Al
3.290 1.783 2.419 Al
4.139 3.486 0.580 Zn
5.816 7.532 1.756 Zn
1.426 0.213 2.158 Zn
3.103 4.259 3.334 Hg
```

Density of states at the Fermi level (states/eV/f.u.): 2.1
VASP energy (eV/atom): -3.258
Total magnetic moment (μB per formula unit): 0.00

(2)
This record from Alexandria via LeMat-Bulk describes a geometry-optimized TbMg2Ag3 structure. The functional is PBE.

POSCAR file:
```
TbMg2Ag3
1.0
-2.983 1.266 1.086
-1.146 -3.173 0.551
3.738 0.361 9.843
Tb Mg Ag
1 2 3
Cartesian
-0.196 -0.773 5.741 Tb
1.087 -0.649 9.118 Mg
-1.478 -0.897 2.363 Mg
0.000 0.000 0.000 Ag
2.590 0.250 6.821 Ag
1.148 0.111 3.023 Ag
```

Density of states at the Fermi level (states/eV/f.u.): 2.3
VASP energy (eV/atom): -2.977
Total magnetic moment (μB per formula unit): 0.00